A plane-wave DFT calculation with PBE-GGA was carried out for a relaxed structure of Sc2FeAg.

a = 6.5832 Å, b = 6.5832 Å, c = 6.5832 Å
α = 90.00°, β = 90.00°, γ = 90.00°
With the nearest neighbours (Å) after each atom.
Space group F-43m (No. 216)
Asymmetric unit:
Sc 0.0000 0.0000 0.0000  4 Sc 2.85, 4 Ag 2.85
Sc 0.2500 0.2500 0.2500  4 Fe 2.85, 4 Sc 2.85
Fe 0.0000 0.0000 0.5000  4 Ag 2.85, 4 Sc 2.85
Ag 0.2500 0.2500 0.7500  4 Fe 2.85, 4 Sc 2.85

Values from the calculation:
- total energy (eV per atom) = -5.8571
- energy of formation (eV per formula unit) = 0.5
- calculated volume (Å³ per cell) = 285.3
- spin magnetization (μB/f.u.) = 2.0